The following is a DFT calculation (PBE+U) of a relaxed NaTl3Cr2F9 crystal.

Cell lengths 6.0438, 6.0438, 7.4318 Å; angles 90.00, 90.00, 120.00 degrees
Element x y z (fractional)
Na 0.0000 0.0000 0.0000
Tl 0.0000 0.0000 0.5000
Tl 0.3333 0.6667 0.1437
Tl 0.6667 0.3333 0.8563
Cr 0.3333 0.6667 0.6563
Cr 0.6667 0.3333 0.3437
F 0.0000 0.5000 0.5000
F 0.1774 0.3549 0.8128
F 0.1774 0.8226 0.8128
F 0.3549 0.1774 0.1872
F 0.5000 0.0000 0.5000
F 0.5000 0.5000 0.5000
F 0.6451 0.8226 0.8128
F 0.8226 0.1774 0.1872
F 0.8226 0.6451 0.1872

SG: P-3m1, No. 164
total energy: -75.28 eV per cell
total magnetic moment: 7.00 μB/f.u.
DOS(E_F): 5.6 states/eV/f.u.
calculated volume: 15.67 A^3/atom